No. 1
{
  "formula": "SrTc2Te",
  "functional": "PBEsol",
  "state": "relaxed",
  "lattice": [[-2.024, 1.845, 1.371], [-2.382, 0.737, -4.509], [-3.219, -4.276, 1.002]],
  "species": ["Sr", "Tc", "Tc", "Te"],
  "fractional_positions": [[0.000, 0.500, 0.000], [0.500, 0.000, 0.701], [0.500, 0.000, 0.299], [0.500, 0.500, 0.500]],
  "formation_energy_uncorrected_mev_per_atom": 589
}



No. 2
{
  "formula": "SrTcTe2",
  "functional": "PBEsol",
  "state": "relaxed",
  "lattice": [[4.270, 0.000, 0.000], [2.135, 3.698, 0.000], [2.135, 1.233, 6.481]],
  "species": ["Sr", "Tc", "Te", "Te"],
  "fractional_positions": [[0.000, 0.000, 0.000], [0.500, 0.500, 0.500], [0.773, 0.773, 0.682], [0.227, 0.227, 0.318]],
  "formation_energy_uncorrected_mev_per_atom": -507
}



No. 3
{
  "formula": "SrTlTc2",
  "functional": "PBEsol",
  "state": "relaxed",
  "lattice": [[-3.635, 1.381, 2.313], [0.077, -3.507, 2.215], [2.469, 1.819, 2.794]],
  "species": ["Sr", "Tc", "Tc", "Tl"],
  "fractional_positions": [[0.500, 0.000, 0.000], [0.000, 0.000, 0.500], [0.000, 0.500, 0.000], [0.500, 0.500, 0.500]],
  "ef_ev_per_atom": 1.0342
}



No. 4
{
  "formula": "SrTlTc2",
  "functional": "PBEsol",
  "state": "relaxed",
  "lattice": [[3.049, 0.000, 0.000], [1.524, 2.640, 0.000], [1.524, 0.880, 9.664]],
  "species": ["Sr", "Tc", "Tc", "Tl"],
  "fractional_positions": [[0.000, 0.000, 0.000], [0.243, 0.243, 0.271], [0.757, 0.757, 0.729], [0.500, 0.500, 0.500]],
  "ef_ev_per_atom": 1.1337
}



No. 5
{
  "formula": "SrTl2Tc2",
  "functional": "PBEsol",
  "state": "relaxed",
  "lattice": [[3.553, 0.000, 0.000], [0.000, 3.553, 0.000], [-1.776, -1.776, 9.096]],
  "species": ["Sr", "Tl", "Tl", "Tc", "Tc"],
  "fractional_positions": [[0.000, 0.000, 0.000], [0.376, 0.376, 0.752], [0.624, 0.624, 0.248], [0.250, 0.750, 0.500], [0.750, 0.250, 0.500]],
  "ef_ev_per_atom": 0.2854
}



No. 6
{
  "formula": "SrTc2W",
  "functional": "PBEsol",
  "state": "relaxed",
  "lattice": [[-0.774, -2.433, -1.492], [1.394, -2.055, 2.628], [-6.569, -0.010, 3.475]],
  "species": ["Sr", "Tc", "Tc", "W"],
  "fractional_positions": [[0.492, 0.500, 0.756], [0.997, 0.000, 0.087], [0.522, 0.500, 0.243], [0.990, 0.000, 0.415]],
  "ef_ev_per_atom": 0.7168
}



No. 7
{
  "formula": "Sr2TcW",
  "functional": "PBEsol",
  "state": "relaxed",
  "lattice": [[-2.595, 0.877, 4.147], [2.233, -0.265, 4.432], [0.826, 4.143, 2.619]],
  "species": ["Sr", "Sr", "Tc", "W"],
  "fractional_positions": [[0.000, 0.000, 0.000], [0.750, 0.750, 0.750], [0.500, 0.500, 0.500], [0.250, 0.250, 0.250]],
  "ef_ev_per_atom": 1.2722
}



No. 8
{
  "formula": "Sr3TcW",
  "functional": "PBEsol",
  "state": "relaxed",
  "lattice": [[5.631, 0.000, 0.000], [0.000, 5.631, 0.000], [0.000, 0.000, 5.631]],
  "species": ["Sr", "Sr", "Sr", "Tc", "W"],
  "fractional_positions": [[0.000, 0.500, 0.000], [0.000, 0.000, 0.500], [0.500, 0.000, 0.000], [0.500, 0.500, 0.500], [0.000, 0.000, 0.000]],
  "ef_ev_per_atom": 1.9757
}



No. 9
{
  "formula": "SrY2Tc",
  "functional": "PBEsol",
  "state": "relaxed",
  "lattice": [[3.573, 0.000, 0.000], [0.000, 5.915, 0.000], [-1.786, -2.958, 5.376]],
  "species": ["Sr", "Tc", "Y", "Y"],
  "fractional_positions": [[0.000, 0.500, 0.000], [0.500, 0.000, 0.000], [0.810, 0.810, 0.620], [0.190, 0.190, 0.380]],
  "ef_ev_per_atom": 0.2942
}



No. 10
{
  "formula": "SrY2Tc",
  "functional": "PBEsol",
  "state": "relaxed",
  "lattice": [[-1.197, 2.754, 1.744], [1.558, -1.149, 2.883], [7.887, 4.893, -2.311]],
  "species": ["Sr", "Tc", "Y", "Y"],
  "fractional_positions": [[0.500, 0.500, 0.000], [0.500, 0.500, 0.500], [0.000, 0.000, 0.666], [0.000, 0.000, 0.334]],
  "ef_ev_per_atom": 0.0929
}



No. 11
{
  "formula": "SrYTc3",
  "functional": "PBEsol",
  "state": "relaxed",
  "lattice": [[-3.180, 0.878, -3.578], [-0.683, -4.785, -0.568], [-3.620, 0.131, 3.250]],
  "species": ["Y", "Sr", "Tc", "Tc", "Tc"],
  "fractional_positions": [[0.000, 0.000, 0.000], [0.500, 0.500, 0.500], [0.000, 0.500, 0.000], [0.000, 0.000, 0.500], [0.500, 0.000, 0.000]],
  "ef_ev_per_atom": 1.8879
}



No. 12
{
  "formula": "SrZnTc2",
  "functional": "PBEsol",
  "state": "relaxed",
  "lattice": [[-3.819, 1.782, 0.134], [-3.452, -2.375, -0.473], [-2.617, -1.033, 5.497]],
  "species": ["Sr", "Tc", "Tc", "Zn"],
  "fractional_positions": [[0.751, 0.751, 0.748], [0.946, 0.946, 0.163], [0.267, 0.267, 0.198], [0.550, 0.550, 0.351]],
  "ef_ev_per_atom": 0.1974
}



Record order is preserved below.
Size of the total moment: 0.00 0.00 0.00 0.00 0.00 0.00 0.00 0.81 0.00 0.00 0.56 0.00 μB/atom